No. 1
First-principles (PBE) data for an optimized crystal structure of BeZnTe2S, as listed in Alexandria.

Results
The value obtained for the formation energy without anion corrections is -0.21 eV/atom. For the energy above the most stable polymorph in this dataset, the calculation gives 196 meV/atom.

Unit cell a=4.1844 b=5.9716 c=6.0187 alpha=76.80 beta=84.72 gamma=84.03
Closest atoms and distances in Å follow each position.
Space group P1 (No. 1)
Asymmetric unit:
Be  0.0000  0.0000  0.0000 [1 per cell]  1 S 2.04
Zn  0.6266  0.9955  0.6661 [1 per cell]  1 S 2.37
Te  0.0896  0.2772  0.6420 [1 per cell]  1 Be 2.42, 2 Zn 2.66-2.67
Te  0.4659  0.9585  0.2479 [1 per cell]  2 Be 2.52-2.57, 1 S 2.55, 1 Zn 2.73
S  0.7792  0.7128  0.9917 [1 per cell]  1 Be 2.04

No. 2
First-principles (PBE) data for an optimized crystal structure of AgMoPt, as listed in Alexandria.

Results
As for the formation enthalpy at 0 K: -0.1231 eV/atom. For the energy above the most stable polymorph in this dataset, the calculation gives 0 meV/atom.

Unit cell a=2.8128 b=2.8128 c=12.4008 alpha=90.00 beta=90.00 gamma=90.00
Closest atoms and distances in Å follow each position.
Space group P4/nmm (No. 129, origin choice 2)
Asymmetric unit:
Ag  0.2500  0.2500  0.0880 [2 per cell]  8 Ag 2.81-2.95, 4 Pt 2.95
Mo  0.2500  0.2500  0.4127 [2 per cell]  4 Pt 2.72, 8 Mo 2.81-2.94
Pt  0.2500  0.2500  0.7364 [2 per cell]  4 Mo 2.72, 4 Pt 2.81, 4 Ag 2.95

No. 3
First-principles (PBE) data for an optimized crystal structure of VAsI, as listed in Alexandria.

Results
The value obtained for the formation energy without anion corrections is -0.13 eV/atom. For the energy above the most stable polymorph in this dataset, the calculation gives 56 meV/atom.

Unit cell a=13.5781 b=3.5606 c=6.9570 alpha=90.00 beta=119.48 gamma=90.00
Closest atoms and distances in Å follow each position.
Space group Cm (No. 8)
Asymmetric unit:
V  0.0000  0.0000  0.0000 [2 per cell]  4 As 2.51-2.57, 1 I 2.69
V  0.2392  0.5000  0.7823 [2 per cell]  3 As 2.46-2.50, 1 I 2.73
As  0.1218  0.5000  0.9682 [2 per cell]  3 V 2.50-2.51
As  0.3670  0.0000  0.0145 [2 per cell]  4 V 2.46-2.57
I  0.0910  0.0000  0.4626 [2 per cell]  3 V 2.79-2.82
I  0.3581  0.5000  0.5606 [2 per cell]  2 V 2.69-2.73

No. 4
First-principles (PBE) data for an optimized crystal structure of MnNi2Au2, as listed in Alexandria.

Results
As for the formation enthalpy at 0 K: 0.1130 eV/atom.

Unit cell a=6.3741 b=6.3741 c=3.6972 alpha=90.00 beta=90.00 gamma=90.00
Closest atoms and distances in Å follow each position.
Space group P4/mbm (No. 127)
Asymmetric unit:
Mn  0.0000  0.0000  0.0000 [2 per cell]  4 Ni 2.50
Ni  0.1310  0.3690  0.0000 [4 per cell]  1 Ni 2.36, 2 Mn 2.50, 2 Au 2.58
Au  0.1695  0.6695  0.5000 [4 per cell]  6 Ni 2.58-2.67

No. 5
First-principles (PBE) data for an optimized crystal structure of BaTe2As, as listed in Alexandria.

Results
The value obtained for the formation energy without anion corrections is -0.43 eV/atom.

Unit cell a=4.6756 b=4.6756 c=11.2595 alpha=90.00 beta=90.00 gamma=90.00
Closest atoms and distances in Å follow each position.
Space group I4/mmm (No. 139)
Asymmetric unit:
Ba  0.0000  0.0000  0.0000 [2 per cell]  4 As 3.31, 8 Te 3.66
Te  0.0000  0.5000  0.2500 [4 per cell]  4 Te 3.31, 4 Ba 3.66, 4 As 3.66
As  0.0000  0.0000  0.5000 [2 per cell]  4 Ba 3.31, 8 Te 3.66

No. 6
First-principles (PBE) data for an optimized crystal structure of Mg3TlP, as listed in Alexandria.

Results
As for the formation enthalpy at 0 K: -0.1037 eV/atom. For the energy above the most stable polymorph in this dataset, the calculation gives 0 meV/atom.

Unit cell a=4.9511 b=4.9511 c=4.9511 alpha=90.00 beta=90.00 gamma=90.00
Closest atoms and distances in Å follow each position.
Space group Pm-3m (No. 221)
Asymmetric unit:
Mg  0.0000  0.0000  0.5000 [3 per cell]  2 P 2.48
Tl  0.5000  0.5000  0.5000 [1 per cell]  12 Mg 3.50
P  0.0000  0.0000  0.0000 [1 per cell]  6 Mg 2.48

No. 7
First-principles (PBE) data for an optimized crystal structure of Mn3Nb4Fe, as listed in Alexandria.

Results
As for the formation enthalpy at 0 K: -0.0908 eV/atom.

Unit cell a=3.0729 b=4.3435 c=8.6694 alpha=90.00 beta=90.00 gamma=90.00
Closest atoms and distances in Å follow each position.
Space group Pmmm (No. 47)
Asymmetric unit:
Mn  0.0000  0.0000  0.0000 [1 per cell]  8 Nb 2.65-2.66
Mn  0.0000  0.5000  0.2508 [2 per cell]  8 Nb 2.65-2.66
Nb  0.5000  0.0000  0.2489 [2 per cell]  6 Mn 2.65-2.66, 2 Fe 2.66
Nb  0.5000  0.5000  0.0000 [1 per cell]  8 Mn 2.66
Nb  0.5000  0.5000  0.5000 [1 per cell]  4 Mn 2.65, 4 Fe 2.66
Fe  0.0000  0.0000  0.5000 [1 per cell]  8 Nb 2.66

No. 8
First-principles (PBE) data for an optimized crystal structure of Li2La3Tl2, as listed in Alexandria.

Results
As for the formation enthalpy at 0 K: -0.2344 eV/atom.

Unit cell a=3.6724 b=5.0244 c=21.7859 alpha=90.00 beta=90.00 gamma=90.00
Closest atoms and distances in Å follow each position.
Space group Immm (No. 71)
Asymmetric unit:
Li  0.0000  0.0000  0.0681 [4 per cell]  2 Tl 2.91, 1 Li 2.97
La  0.0000  0.0000  0.5000 [2 per cell]  8 Li 3.45, 4 Tl 3.48, 2 La 3.67
La  0.0000  0.5000  0.2987 [4 per cell]  5 Tl 3.42-3.55, 2 Li 3.43, 6 La 3.67-3.77
Tl  0.0000  0.5000  0.1357 [4 per cell]  2 Li 2.91